No. 1
# NaCrOs2

Crystalline NaCrOs2 at its relaxed geometry (PBE-GGA, the Alexandria database).

Computed properties:
- SG = I-42d
- crystal system = tetragonal
- relative energy among the computed polymorphs (meV per atom) = 189
- total moment (μB/atom) = 0.000

Unit cell a=7.145 b=7.145 c=5.675 alpha=50.99 beta=50.99 gamma=90.00
Fractional coordinates of all 8 atoms:
Cr (0.000, 0.000, 0.000)
Cr (0.750, 0.250, 0.500)
Os (0.686, 0.125, 0.250)
Os (0.064, 0.625, 0.250)
Os (0.375, 0.314, 0.750)
Os (0.875, 0.936, 0.750)
Na (0.500, 0.500, 0.000)
Na (0.250, 0.750, 0.500)

---

No. 2
# Na3CrOs

Crystalline Na3CrOs at its relaxed geometry (PBE-GGA, the Alexandria database).

Computed properties:
- SG = Pm-3m
- crystal system = cubic
- relative energy among the computed polymorphs (meV per atom) = 215
- total moment (μB/atom) = 1.478

Unit cell a=5.423 b=5.423 c=5.423 alpha=90.00 beta=90.00 gamma=90.00
Site moments in Bohr magnetons follow the coordinates.
Fractional coordinates of all 5 atoms:
Cr (0.000, 0.000, 0.000)  4.29
Os (0.500, 0.500, 0.500)  2.32
Na (0.000, 0.500, 0.000)  0.00
Na (0.000, 0.000, 0.500)  0.00
Na (0.500, 0.000, 0.000)  0.01

---

No. 3
# Na3CrOs

Crystalline Na3CrOs at its relaxed geometry (PBE-GGA, the Alexandria database).

Computed properties:
- SG = Pm-3m
- crystal system = cubic
- relative energy among the computed polymorphs (meV per atom) = 0
- total moment (μB/atom) = 1.417

Unit cell a=5.631 b=5.631 c=5.631 alpha=90.00 beta=90.00 gamma=90.00
Site moments in Bohr magnetons follow the coordinates.
Fractional coordinates of all 5 atoms:
Cr (0.500, 0.500, 0.500)  4.32
Os (0.000, 0.000, 0.000)  1.84
Na (0.000, 0.500, 0.000)  -0.01
Na (0.000, 0.000, 0.500)  -0.01
Na (0.500, 0.000, 0.000)  -0.01

---

No. 4
# NaCrOs3

Crystalline NaCrOs3 at its relaxed geometry (PBE-GGA, the Alexandria database).

Computed properties:
- SG = Pm-3m
- crystal system = cubic
- relative energy among the computed polymorphs (meV per atom) = 1512
- total moment (μB/atom) = 0.000

Unit cell a=4.349 b=4.349 c=4.349 alpha=90.00 beta=90.00 gamma=90.00
Fractional coordinates of all 5 atoms:
Cr (0.500, 0.500, 0.500)
Os (0.000, 0.500, 0.000)
Os (0.000, 0.000, 0.500)
Os (0.500, 0.000, 0.000)
Na (0.000, 0.000, 0.000)

---

No. 5
# NaCrOs2

Crystalline NaCrOs2 at its relaxed geometry (PBE-GGA, the Alexandria database).

Computed properties:
- SG = Fm-3m
- crystal system = cubic
- relative energy among the computed polymorphs (meV per atom) = 0
- total moment (μB/atom) = 0.000

Unit cell a=4.285 b=4.285 c=4.285 alpha=60.00 beta=60.00 gamma=60.00
Fractional coordinates of all 4 atoms:
Cr (0.500, 0.500, 0.500)
Os (0.250, 0.250, 0.250)
Os (0.750, 0.750, 0.750)
Na (0.000, 0.000, 0.000)

---

No. 6
# NaCr3Os

Crystalline NaCr3Os at its relaxed geometry (PBE-GGA, the Alexandria database).

Computed properties:
- SG = Pm-3m
- crystal system = cubic
- relative energy among the computed polymorphs (meV per atom) = 1341
- total moment (μB/atom) = 2.282

Unit cell a=4.537 b=4.537 c=4.537 alpha=90.00 beta=90.00 gamma=90.00
Site moments in Bohr magnetons follow the coordinates.
Fractional coordinates of all 5 atoms:
Cr (0.000, 0.500, 0.000)  3.82
Cr (0.000, 0.000, 0.500)  3.87
Cr (0.500, 0.000, 0.000)  3.56
Os (0.500, 0.500, 0.500)  -1.20
Na (0.000, 0.000, 0.000)  0.14

---

no.,ΔH_f (0 K) (kJ/mol of formula units)
1,403
2,933
3,829
4,1505
5,330
6,1191